[1]
Compound: AlCdW
Source: Alexandria
Functional: PBE
Structure: optimized geometry

POSCAR file:
```
AlCdW
1.0
-1.4026 1.4026 6.6847
1.4026 -1.4026 6.6847
1.4026 1.4026 -6.6847
Al Cd W
1 1 1
Direct
0.0000 0.0000 0.0000
0.3211 0.3211 0.0000
0.6461 0.6461 0.0000
```

formation energy = 0.37 eV per atom
SG = I4mm
VASP energy = -5.498 eV/atom
ΔE to the lowest computed polymorph = 61 meV/atom
N(E_F) = 2.5 states/eV per cell

[2]
Compound: CsMg3Al
Source: Alexandria
Functional: PBE
Structure: optimized geometry

POSCAR file:
```
CsMg3Al
1.0
6.7143 0.0000 0.0000
0.0000 6.7143 0.0000
0.0000 0.0000 6.7143
Cs Mg Al
1 3 1
Direct
0.0000 0.0000 0.0000
0.0000 0.0000 0.5000
0.0000 0.5000 0.0000
0.5000 0.0000 0.0000
0.5000 0.5000 0.5000
```

formation energy = 1.40 eV per atom
SG = Pm-3m
VASP energy = -0.475 eV/atom
ΔE to the lowest computed polymorph = 1090 meV/atom
N(E_F) = 7.2 states/eV per cell

What did the second record say?
Compound: CsMg3Al
Source: Alexandria
Functional: PBE
Structure: optimized geometry

POSCAR file:
```
CsMg3Al
1.0
6.7143 0.0000 0.0000
0.0000 6.7143 0.0000
0.0000 0.0000 6.7143
Cs Mg Al
1 3 1
Direct
0.0000 0.0000 0.0000
0.0000 0.0000 0.5000
0.0000 0.5000 0.0000
0.5000 0.0000 0.0000
0.5000 0.5000 0.5000
```

formation energy = 1.40 eV per atom
SG = Pm-3m
VASP energy = -0.475 eV/atom
ΔE to the lowest computed polymorph = 1090 meV/atom
N(E_F) = 7.2 states/eV per cell

N(E_F) of number 2 (CsMg3Al)?
7.2 states/eV per cell